# NaAcHg3

A geometry-optimized NaAcHg3 structure (GGA-PBE, the Alexandria database).

CIF file:
```
data_NaAcHg3
_cell_length_a 19.554
_cell_length_b 5.805
_cell_length_c 5.551
_cell_angle_alpha 90.00
_cell_angle_beta 106.18
_cell_angle_gamma 90.00
_symmetry_space_group_name_H-M 'C 1 2/m 1'
_symmetry_Int_Tables_number 12
_symmetry_space_group_name_Hall '-C 2y'
loop_
_atom_site_label
_atom_site_type_symbol
_atom_site_fract_x
_atom_site_fract_y
_atom_site_fract_z
Na1 Na 0.128 0.000 0.379
Ac1 Ac 0.110 0.500 0.861
Hg1 Hg 0.029 0.000 0.779
Hg2 Hg 0.204 0.500 0.453
Hg3 Hg 0.207 0.000 0.957
```

For the relative energy among the computed polymorphs, the calculation gives 0 meV per atom.